Re2Ag: relaxed, PBE.

Cell lengths 6.024, 6.024, 6.024 Å; angles 151.61, 151.61, 40.59 degrees
Fractional positions:
Re: 0.185 0.185 0.000
Re: 0.815 0.815 0.000
Ag: 0.500 0.500 0.000

Values from the calculation:
D(E_F) = 0.60 states/eV per atom
energy of formation = 479 meV/atom
uncorrected energy = -8.77 eV per atom
calculated volume = 16.44 Å³ per atom
polymorph energy (0 for the lowest one) = 170 meV/atom